Entry 1:
Density functional theory data (PBE) for a relaxed structure of KCd2Sn3.

The value obtained for the magnetic moment is 0.00 μB/f.u. The volume is 33.66 Å³ per atom. The energy relative to the elements is -43 meV per atom.

a = 7.696 Å, b = 7.346 Å, c = 7.346 Å
α = 103.43°, β = 90.00°, γ = 90.00°
Fractional coordinates of all 12 atoms:
K 0.750 0.313 0.687
K 0.250 0.687 0.313
Cd 0.000 0.831 0.831
Cd 0.500 0.831 0.831
Cd 0.000 0.169 0.169
Cd 0.500 0.169 0.169
Sn 0.250 0.149 0.851
Sn 0.250 0.532 0.778
Sn 0.750 0.778 0.532
Sn 0.250 0.222 0.468
Sn 0.750 0.468 0.222
Sn 0.750 0.851 0.149



Entry 2:
Density functional theory data (PBE) for a relaxed structure of K2Cd2Sn.

The value obtained for the magnetic moment is 0.00 μB/f.u. The energy above the lowest structure with this stoichiometry is 9.57 kcal/mol of atoms. The volume is 36.33 Å³ per atom. The energy relative to the elements is 245 meV per atom.

a = 4.920 Å, b = 4.920 Å, c = 8.272 Å
α = 72.70°, β = 72.70°, γ = 90.00°
Fractional coordinates of all 5 atoms:
K 0.750 0.250 0.500
K 0.250 0.750 0.500
Sn 0.000 0.000 0.000
Cd 0.409 0.409 0.183
Cd 0.591 0.591 0.817



Entry 3:
Density functional theory data (PBE) for a relaxed structure of KCd9Sn2.

The value obtained for the magnetic moment is 0.00 μB/f.u. The volume is 26.13 Å³ per atom. The energy relative to the elements is -47 meV per atom.

a = 8.636 Å, b = 9.554 Å, c = 9.554 Å
α = 78.21°, β = 63.13°, γ = 63.13°
Fractional coordinates of all 24 atoms:
K 0.500 0.000 0.000
K 0.250 0.500 0.500
Cd 0.750 0.500 0.500
Cd 0.000 0.000 0.000
Cd 0.000 0.912 0.671
Cd 0.584 0.088 0.329
Cd 0.662 0.171 0.588
Cd 0.421 0.829 0.412
Cd 0.750 0.829 0.588
Cd 0.166 0.171 0.412
Cd 0.088 0.912 0.329
Cd 0.329 0.088 0.671
Cd 0.750 0.588 0.829
Cd 0.166 0.412 0.171
Cd 0.088 0.329 0.912
Cd 0.329 0.671 0.088
Cd 0.000 0.671 0.912
Cd 0.584 0.329 0.088
Cd 0.662 0.588 0.171
Cd 0.421 0.412 0.829
Sn 0.875 0.250 0.750
Sn 0.875 0.750 0.250
Sn 0.875 0.250 0.250
Sn 0.375 0.750 0.750



Entry 4:
Density functional theory data (PBE) for a relaxed structure of K2Cd2Sn.

The value obtained for the magnetic moment is 0.00 μB/f.u. The energy above the lowest structure with this stoichiometry is 4.46 kcal/mol of atoms. The volume is 37.74 Å³ per atom. The energy relative to the elements is 23 meV per atom.

a = 4.068 Å, b = 4.068 Å, c = 11.758 Å
α = 80.04°, β = 80.04°, γ = 90.00°
Fractional coordinates of all 5 atoms:
K 0.396 0.396 0.207
K 0.604 0.604 0.793
Sn 0.000 0.000 0.000
Cd 0.750 0.250 0.500
Cd 0.250 0.750 0.500



Entry 5:
Density functional theory data (PBE) for a relaxed structure of KCd3Sn2.

The value obtained for the magnetic moment is 0.00 μB/f.u. The energy above the lowest structure with this stoichiometry is 0.00 kcal/mol of atoms. The volume is 29.75 Å³ per atom. The energy relative to the elements is -111 meV per atom.

a = 4.939 Å, b = 9.239 Å, c = 8.864 Å
α = 112.74°, β = 90.00°, γ = 105.50°
Fractional coordinates of all 12 atoms:
K 0.849 0.697 0.929
K 0.151 0.303 0.071
Cd 0.310 0.621 0.547
Cd 0.966 0.931 0.635
Cd 0.596 0.193 0.681
Cd 0.404 0.807 0.319
Cd 0.034 0.069 0.365
Cd 0.690 0.379 0.453
Sn 0.474 0.947 0.821
Sn 0.526 0.053 0.179
Sn 0.813 0.626 0.311
Sn 0.187 0.374 0.689



Entry 6:
Density functional theory data (PBE) for a relaxed structure of KCdSn.

The value obtained for the magnetic moment is 0.00 μB/f.u. The energy above the lowest structure with this stoichiometry is 3.26 kcal/mol of atoms. The volume is 35.00 Å³ per atom. The energy relative to the elements is -35 meV per atom.

a = 4.122 Å, b = 4.122 Å, c = 6.834 Å
α = 107.55°, β = 107.55°, γ = 90.00°
Fractional coordinates of all 3 atoms:
K 0.998 0.998 0.996
Sn 0.286 0.286 0.572
Cd 0.716 0.716 0.432



Entry 7:
Density functional theory data (PBE) for a relaxed structure of KCdSn2.

The value obtained for the magnetic moment is 0.00 μB/f.u. The volume is 30.96 Å³ per atom. The energy relative to the elements is -142 meV per atom.

a = 5.072 Å, b = 7.998 Å, c = 12.211 Å
α = 90.00°, β = 90.00°, γ = 90.00°
Fractional coordinates of all 16 atoms:
K 0.750 0.791 0.184
K 0.250 0.709 0.684
K 0.250 0.209 0.816
K 0.750 0.291 0.316
Cd 0.250 0.973 0.410
Cd 0.750 0.027 0.590
Cd 0.250 0.473 0.090
Cd 0.750 0.527 0.910
Sn 0.250 0.111 0.152
Sn 0.750 0.687 0.481
Sn 0.250 0.313 0.519
Sn 0.750 0.389 0.652
Sn 0.250 0.813 0.981
Sn 0.250 0.611 0.348
Sn 0.750 0.889 0.848
Sn 0.750 0.187 0.019



Entry 8:
Density functional theory data (PBE) for a relaxed structure of KCd3Sn2.

The value obtained for the magnetic moment is 0.00 μB/f.u. The energy above the lowest structure with this stoichiometry is 0.53 kcal/mol of atoms. The volume is 28.44 Å³ per atom. The energy relative to the elements is -88 meV per atom.

a = 5.073 Å, b = 9.241 Å, c = 9.237 Å
α = 56.01°, β = 74.06°, γ = 74.07°
Fractional coordinates of all 12 atoms:
K 0.866 0.133 0.134
K 0.134 0.867 0.866
Cd 0.321 0.470 0.889
Cd 0.000 0.336 0.664
Cd 0.679 0.113 0.529
Cd 0.321 0.887 0.471
Cd 0.000 0.664 0.336
Cd 0.679 0.530 0.111
Sn 0.500 0.170 0.830
Sn 0.500 0.830 0.170
Sn 0.819 0.681 0.681
Sn 0.181 0.319 0.319



Entry 9:
Density functional theory data (PBE) for a relaxed structure of KCd4Sn4.

The value obtained for the magnetic moment is 0.00 μB/f.u. The volume is 31.72 Å³ per atom. The energy relative to the elements is -3 meV per atom.

a = 6.166 Å, b = 9.624 Å, c = 9.624 Å
α = 90.00°, β = 90.00°, γ = 90.00°
Fractional coordinates of all 18 atoms:
K 0.000 0.000 0.000
K 0.500 0.500 0.500
Cd 0.629 0.852 0.334
Cd 0.629 0.148 0.666
Cd 0.129 0.834 0.648
Cd 0.871 0.352 0.834
Cd 0.871 0.648 0.166
Cd 0.371 0.334 0.148
Cd 0.371 0.666 0.852
Cd 0.129 0.166 0.352
Sn 0.371 0.352 0.846
Sn 0.871 0.654 0.852
Sn 0.371 0.648 0.154
Sn 0.129 0.148 0.654
Sn 0.629 0.846 0.648
Sn 0.129 0.852 0.346
Sn 0.871 0.346 0.148
Sn 0.629 0.154 0.352



Entry 10:
Density functional theory data (PBE) for a relaxed structure of KCd11Sn.

The value obtained for the magnetic moment is 0.00 μB/f.u. The volume is 25.09 Å³ per atom. The energy relative to the elements is -21 meV per atom.

a = 6.203 Å, b = 7.919 Å, c = 7.877 Å
α = 80.97°, β = 66.81°, γ = 66.50°
Fractional coordinates of all 13 atoms:
K 0.000 0.000 0.000
Cd 0.276 0.213 0.219
Cd 0.724 0.787 0.781
Cd 0.505 0.787 0.219
Cd 0.495 0.213 0.781
Cd 0.343 0.647 0.640
Cd 0.657 0.353 0.360
Cd 0.016 0.353 0.640
Cd 0.984 0.647 0.360
Cd 0.000 0.500 0.000
Cd 0.500 0.000 0.500
Cd 0.000 0.000 0.500
Sn 0.500 0.500 0.000



Entry 11:
Density functional theory data (PBE) for a relaxed structure of K3Cd5Sn2.

The value obtained for the magnetic moment is 0.00 μB/f.u. The volume is 33.36 Å³ per atom. The energy relative to the elements is -73 meV per atom.

a = 7.276 Å, b = 10.508 Å, c = 10.508 Å
α = 65.69°, β = 69.75°, γ = 69.75°
Fractional coordinates of all 20 atoms:
K 0.250 0.000 0.000
K 0.750 0.000 0.000
K 0.366 0.402 0.865
K 0.634 0.598 0.135
K 0.866 0.865 0.402
K 0.134 0.135 0.598
Cd 0.250 0.500 0.500
Cd 0.750 0.500 0.500
Cd 0.481 0.769 0.769
Cd 0.019 0.231 0.231
Cd 0.519 0.231 0.231
Cd 0.981 0.769 0.769
Cd 0.133 0.458 0.275
Cd 0.867 0.542 0.725
Cd 0.633 0.275 0.458
Cd 0.367 0.725 0.542
Sn 0.146 0.694 0.014
Sn 0.854 0.306 0.986
Sn 0.646 0.014 0.694
Sn 0.354 0.986 0.306



Entry 12:
Density functional theory data (PBE) for a relaxed structure of K2Cd7Sn.

The value obtained for the magnetic moment is 0.00 μB/f.u. The volume is 29.39 Å³ per atom. The energy relative to the elements is -84 meV per atom.

a = 4.777 Å, b = 4.777 Å, c = 12.882 Å
α = 90.00°, β = 90.00°, γ = 90.00°
Fractional coordinates of all 10 atoms:
K 0.500 0.000 0.751
K 0.000 0.500 0.249
Cd 0.000 0.500 0.859
Cd 0.500 0.000 0.363
Cd 0.500 0.000 0.141
Cd 0.000 0.500 0.637
Cd 0.000 0.000 0.500
Cd 0.000 0.000 0.000
Cd 0.500 0.500 0.500
Sn 0.500 0.500 0.000